*w*
PBE-GGA LiHfTl, optimized geometry; magnetization = 0.000 μB per formula unit; D(E_F) = 1.88 states/eV/f.u.
1.0
5.021 0.000 0.103
0.000 3.248 0.000
2.524 0.000 7.845
Tl Li Hf
2 2 2
direct
0.125 0.500 0.231
0.349 0.500 0.567
0.610 0.000 0.253
0.864 0.000 0.545
0.738 0.500 0.899
0.238 0.000 0.899



*x*
PBE-GGA LiHfTl, optimized geometry; magnetization = 0.000 μB per formula unit; D(E_F) = 2.16 states/eV/f.u.
1.0
-9.926 -12.722 3.069
1.431 -2.841 -0.674
0.885 1.530 2.729
Li Hf Tl
2 2 2
direct
0.995 0.932 0.068
0.170 0.085 0.915
0.663 0.365 0.635
0.504 0.914 0.086
0.325 0.518 0.482
0.842 0.784 0.216



*y*
PBE-GGA LiHfTl, optimized geometry; magnetization = 0.000 μB per formula unit; D(E_F) = 0.34 states/eV/f.u.
1.0
-4.636 -0.807 0.488
-1.904 -0.319 4.319
-2.843 3.430 1.591
Tl Li Hf
1 1 1
direct
0.750 0.750 0.750
0.250 0.250 0.250
0.500 0.500 0.500



Stability verdict: *x*, ahead by 55 meV per atom



*w*
PBE-GGA LiHfTl, optimized geometry; magnetization = 0.000 μB per formula unit; D(E_F) = 2.18 states/eV/f.u.
1.0
-3.360 0.991 -2.175
-1.508 -3.790 0.602
-3.303 2.291 6.146
Li Tl Hf
2 2 2
direct
0.000 0.500 0.744
0.500 0.000 0.256
0.500 0.500 0.500
0.000 0.000 0.500
0.000 0.500 0.122
0.500 0.000 0.878



*x*
PBE-GGA LiHfTl, optimized geometry; magnetization = 0.000 μB per formula unit; D(E_F) = 0.01 states/eV/f.u.
1.0
0.000 3.300 3.300
3.300 0.000 3.300
3.300 3.300 0.000
Tl Hf Li
1 1 1
direct
0.000 0.000 0.000
0.750 0.750 0.750
0.250 0.250 0.250



Stability verdict: *x*, ahead by 12 meV per atom



*w*
PBE-GGA LiHf2Tl, optimized geometry; magnetization = 0.000 μB per formula unit; D(E_F) = 3.13 states/eV/f.u.
1.0
7.882 0.000 0.000
0.000 7.882 0.000
3.941 3.941 2.764
Li Hf Tl
2 4 2
direct
0.500 0.500 0.000
0.250 0.750 0.500
0.612 0.125 0.250
0.875 0.862 0.750
0.138 0.625 0.250
0.375 0.388 0.750
0.000 0.000 0.000
0.750 0.250 0.500



*x*
PBE-GGA LiHf2Tl, optimized geometry; magnetization = 0.000 μB per formula unit; D(E_F) = 2.21 states/eV/f.u.
1.0
0.000 3.450 3.450
3.450 0.000 3.450
3.450 3.450 0.000
Hf Li Tl
2 1 1
direct
0.250 0.250 0.250
0.750 0.750 0.750
0.000 0.000 0.000
0.500 0.500 0.500



Stability verdict: *x*, ahead by 263 meV per atom



*w*
PBE-GGA LiHf2Tl2, optimized geometry; magnetization = 0.000 μB per formula unit; D(E_F) = 3.21 states/eV/f.u.
1.0
-6.500 2.451 0.025
-0.369 -0.909 -6.878
-1.583 -4.205 0.641
Hf Tl Li
4 4 2
direct
0.338 0.162 0.500
0.838 0.338 0.500
0.162 0.662 0.500
0.662 0.838 0.500
0.349 0.849 0.000
0.151 0.349 0.000
0.651 0.151 0.000
0.849 0.651 0.000
0.000 0.000 0.000
0.500 0.500 0.000



*x*
PBE-GGA LiHf2Tl2, optimized geometry; magnetization = 0.000 μB per formula unit; D(E_F) = 4.20 states/eV/f.u.
1.0
-4.644 -7.188 -2.048
3.524 0.021 -8.063
2.359 -1.817 1.026
Hf Tl Li
4 4 2
direct
0.379 0.879 0.000
0.121 0.379 0.000
0.621 0.121 0.000
0.879 0.621 0.000
0.323 0.177 0.500
0.677 0.823 0.500
0.177 0.677 0.500
0.823 0.323 0.500
0.500 0.500 0.000
0.000 0.000 0.000



Stability verdict: *w*, ahead by 52 meV per atom



*w*
PBE-GGA LiHfTl3, optimized geometry; magnetization = 0.000 μB per formula unit; D(E_F) = 4.33 states/eV/f.u.
1.0
5.644 0.000 0.000
0.000 5.644 0.000
0.000 0.000 5.644
Tl Hf Li
3 1 1
direct
0.000 0.500 0.000
0.000 0.000 0.500
0.500 0.000 0.000
0.000 0.000 0.000
0.500 0.500 0.500



*x*
PBE-GGA LiHfTl3, optimized geometry; magnetization = 0.000 μB per formula unit; D(E_F) = 1.45 states/eV/f.u.
1.0
4.948 0.000 0.000
0.000 4.948 0.000
0.000 0.000 4.948
Hf Li Tl
1 1 3
direct
0.500 0.500 0.500
0.000 0.000 0.000
0.000 0.000 0.500
0.000 0.500 0.000
0.500 0.000 0.000



Stability verdict: *w*, ahead by 43 meV per atom



*w*
PBE-GGA Li2HfTl2, optimized geometry; magnetization = 0.000 μB per formula unit; D(E_F) = 3.48 states/eV/f.u.
1.0
-1.628 -1.392 -7.769
5.597 -5.796 -0.134
-2.222 -2.165 0.853
Li Tl Hf
4 4 2
direct
0.847 0.347 0.500
0.347 0.153 0.500
0.653 0.847 0.500
0.153 0.653 0.500
0.148 0.352 0.000
0.352 0.852 0.000
0.648 0.148 0.000
0.852 0.648 0.000
0.000 0.000 0.000
0.500 0.500 0.000



*x*
PBE-GGA Li2HfTl2, optimized geometry; magnetization = 0.000 μB per formula unit; D(E_F) = 2.03 states/eV/f.u.
1.0
8.000 0.000 0.000
0.000 8.000 0.000
0.000 0.000 3.064
Hf Li Tl
2 4 4
direct
0.000 0.000 0.000
0.500 0.500 0.000
0.115 0.385 0.000
0.615 0.115 0.000
0.885 0.615 0.000
0.385 0.885 0.000
0.685 0.815 0.500
0.315 0.185 0.500
0.185 0.685 0.500
0.815 0.315 0.500



Stability verdict: *x*, ahead by 46 meV per atom